*a*
Material: Pr3PaP4
Method: DFT, PBE-GGA
State: relaxed

## Properties
**Crystal system**: tetragonal
**Magnetization**: 0.00 μB per cell

Cell: 5.8400 5.8400 11.7062 Å, 90.00 90.00 90.00°
Space group I4/mmm (No. 139)
Symmetry-distinct sites (fractional):
Pr 0.0000 0.0000 0.0000 [2 per cell]
Pr 0.0000 0.5000 0.2500 [4 per cell]
Pa 0.0000 0.0000 0.5000 [2 per cell]
P 0.0000 0.0000 0.2634 [4 per cell]
P 0.0000 0.5000 0.0000 [4 per cell]

*b*
Material: Pr3PaP4
Method: DFT, PBE-GGA
State: relaxed

## Properties
**Crystal system**: orthorhombic
**Magnetization**: 0.00 μB per cell

Cell: 8.2789 11.6898 4.1354 Å, 90.00 90.00 90.00°
Space group Cmmm (No. 65)
Symmetry-distinct sites (fractional):
Pr 0.0000 0.0000 0.0000 [2 per cell]
Pr 0.2500 0.2500 0.5000 [4 per cell]
Pa 0.0000 0.5000 0.0000 [2 per cell]
P 0.0000 0.2596 0.0000 [4 per cell]
P 0.2351 0.5000 0.5000 [4 per cell]

Stability, highest: *b*

*a*
Material: PrPaP2
Method: DFT, PBE-GGA
State: relaxed

## Properties
**Crystal system**: hexagonal
**Magnetization**: 0.00 μB per cell

Cell: 4.0588 4.0588 13.4111 Å, 90.00 90.00 120.00°
Space group P6_3/mmc (No. 194)
Symmetry-distinct sites (fractional):
Pr 0.3333 0.6667 0.2500 [2 per cell]
Pa 0.0000 0.0000 0.0000 [2 per cell]
P 0.3333 0.6667 0.6143 [4 per cell]

*b*
Material: PrPaP2
Method: DFT, PBE-GGA
State: relaxed

## Properties
**Crystal system**: trigonal
**Magnetization**: 0.00 μB per cell

Cell: 4.0091 4.0091 20.9911 Å, 90.00 90.00 120.00°
Space group R3m (No. 160, hexagonal axes)
Symmetry-distinct sites (fractional):
Pr 0.0000 0.0000 0.0000 [3 per cell]
Pa 0.0000 0.0000 0.1768 [3 per cell]
P 0.0000 0.0000 0.5827 [3 per cell]
P 0.0000 0.0000 0.7642 [3 per cell]

*c*
Material: PrPaP2
Method: DFT, PBE-GGA
State: relaxed

## Properties
**Crystal system**: trigonal
**Magnetization**: 0.00 μB per cell

Cell: 4.0681 4.0681 20.0444 Å, 90.00 90.00 120.00°
Space group R-3m (No. 166, hexagonal axes)
Symmetry-distinct sites (fractional):
Pr 0.0000 0.0000 0.0000 [3 per cell]
Pa 0.0000 0.0000 0.5000 [3 per cell]
P 0.0000 0.0000 0.2434 [6 per cell]

Stability, highest: *c*